Entry from the Open Quantum Materials Database: a geometry-optimized CuNiAgBi structure (PBE-GGA).

abc: 6.548 6.548 6.548
angles: 90.00 90.00 90.00
Space group F-43m (No. 216)
Inequivalent atoms, fractional coordinates:
Cu (0.000, 0.000, 0.000) (multiplicity 4)
Ni (0.250, 0.250, 0.750) (multiplicity 4)
Ag (0.000, 0.000, 0.500) (multiplicity 4)
Bi (0.250, 0.250, 0.250) (multiplicity 4)

Computed properties:
Electronic total energy ... -0.272 Ry per atom
Relative energy among the computed polymorphs ... 0.157 eV/atom